1.
A geometry-optimized PmGaRu structure. Source: Alexandria, functional PBE.

Summary:
Mass density: 7.8 g/cm³
Size of the total moment: 0.0 μB per formula unit
D(E_F): 0.4284 states/eV per atom
Formation energy from the elements: -196 meV/atom
Electronic total energy: -5.880 eV/atom

Geometry as CIF:
```
data_PmGaRu
_chemical_formula_sum 'Pm4 Ga4 Ru4'
_space_group_name_H-M_alt 'F -4 3 m'
_space_group_IT_number 216
_space_group_name_Hall 'F -4 2 3'
_cell_length_a 6.4602
_cell_length_b 6.4602
_cell_length_c 6.4602
_cell_angle_alpha 90.00
_cell_angle_beta 90.00
_cell_angle_gamma 90.00
loop_
_atom_site_label
_atom_site_type_symbol
_atom_site_fract_x
_atom_site_fract_y
_atom_site_fract_z
Pm1 Pm 0.0000 0.0000 0.0000
Ga1 Ga 0.0000 0.0000 0.5000
Ru1 Ru 0.2500 0.2500 0.2500
```



2.
A geometry-optimized Pm2Ga4Ru3 structure. Source: Alexandria, functional PBE.

Summary:
Mass density: 8.7 g/cm³
Size of the total moment: 0.0 μB per formula unit
D(E_F): 0.7542 states/eV per atom
Formation energy from the elements: -471 meV/atom
Electronic total energy: -5.964 eV/atom

Geometry as CIF:
```
data_Pm2Ga4Ru3
_chemical_formula_sum 'Pm8 Ga16 Ru12'
_space_group_name_H-M_alt 'C m c e'
_space_group_IT_number 64
_space_group_name_Hall '-C 2ac 2'
_cell_length_a 5.9541
_cell_length_b 14.8553
_cell_length_c 7.5060
_cell_angle_alpha 90.00
_cell_angle_beta 90.00
_cell_angle_gamma 90.00
loop_
_atom_site_label
_atom_site_type_symbol
_atom_site_fract_x
_atom_site_fract_y
_atom_site_fract_z
Pm1 Pm 0.0000 0.1211 0.0904
Ga1 Ga 0.0000 0.1790 0.4832
Ga2 Ga 0.2500 0.0529 0.7500
Ru1 Ru 0.0000 0.0000 0.5000
Ru2 Ru 0.2500 0.2271 0.7500
```



3.
A geometry-optimized Pm2Ga5Ru structure. Source: Alexandria, functional PBE.

Summary:
Mass density: 7.0 g/cm³
Size of the total moment: 0.0 μB per formula unit
D(E_F): 0.6885 states/eV per atom
Formation energy from the elements: -444 meV/atom
Electronic total energy: -4.683 eV/atom

Geometry as CIF:
```
data_Pm2Ga5Ru
_chemical_formula_sum 'Pm2 Ga5 Ru1'
_space_group_name_H-M_alt 'P 4/m m m'
_space_group_IT_number 123
_space_group_name_Hall '-P 4 2'
_cell_length_a 6.1152
_cell_length_b 6.1152
_cell_length_c 4.6742
_cell_angle_alpha 90.00
_cell_angle_beta 90.00
_cell_angle_gamma 90.00
loop_
_atom_site_label
_atom_site_type_symbol
_atom_site_fract_x
_atom_site_fract_y
_atom_site_fract_z
Pm1 Pm 0.0000 0.5000 0.0000
Ga1 Ga 0.0000 0.0000 0.0000
Ga2 Ga 0.2899 0.2899 0.5000
Ru1 Ru 0.0000 0.0000 0.5000
```



4.
A geometry-optimized Pm3Ga3Ru2 structure. Source: Alexandria, functional PBE.

Summary:
Mass density: 8.2 g/cm³
Size of the total moment: 0.0 μB per formula unit
D(E_F): 0.6075 states/eV per atom
Formation energy from the elements: -538 meV/atom
Electronic total energy: -5.774 eV/atom

Geometry as CIF:
```
data_Pm3Ga3Ru2
_chemical_formula_sum 'Pm12 Ga12 Ru8'
_space_group_name_H-M_alt 'C m c m'
_space_group_IT_number 63
_space_group_name_Hall '-C 2c 2'
_cell_length_a 4.5178
_cell_length_b 10.3567
_cell_length_c 14.7349
_cell_angle_alpha 90.00
_cell_angle_beta 90.00
_cell_angle_gamma 90.00
loop_
_atom_site_label
_atom_site_type_symbol
_atom_site_fract_x
_atom_site_fract_y
_atom_site_fract_z
Pm1 Pm 0.0000 0.0940 0.1086
Pm2 Pm 0.0000 0.3986 0.2500
Ga1 Ga 0.0000 0.2951 0.7500
Ga2 Ga 0.0000 0.3846 0.0434
Ru1 Ru 0.0000 0.2133 0.5831
```